[1]
The following is a DFT calculation (PBE) of a relaxed Fe2Pd7Rh2 crystal.

Summary:
The calculation puts the formation energy at 0.093 eV per atom. Its space-group type is No. 2.

Structure (CIF):
```
data_Fe2Pd7Rh2
_chemical_formula_sum 'Fe2 Pd7 Rh2'
_cell_length_a 7.410
_cell_length_b 6.919
_cell_length_c 5.023
_cell_angle_alpha 79.24
_cell_angle_beta 138.53
_cell_angle_gamma 95.01
_symmetry_space_group_name_H-M 'P 1'
_symmetry_Int_Tables_number 1
_symmetry_space_group_name_Hall 'P 1'
loop_
_atom_site_label
_atom_site_type_symbol
_atom_site_fract_x
_atom_site_fract_y
_atom_site_fract_z
Pd1 Pd 0.506 0.796 0.622
Pd2 Pd 0.983 0.327 0.634
Pd3 Pd 0.000 0.000 0.000
Pd4 Pd 0.494 0.204 0.378
Pd5 Pd 0.591 0.616 0.280
Pd6 Pd 0.409 0.384 0.720
Pd7 Pd 0.017 0.673 0.366
Fe1 Fe 0.114 0.647 0.978
Fe2 Fe 0.886 0.353 0.022
Rh1 Rh 0.260 0.968 0.811
Rh2 Rh 0.740 0.032 0.189
```

[2]
The following is a DFT calculation (PBE) of a relaxed La6Tb2Sm3Mg crystal.

Summary:
The calculation puts the formation energy at 0.021 eV per atom. Its space-group type is No. 12.

Structure (CIF):
```
data_La6Tb2Sm3Mg
_chemical_formula_sum 'La6 Tb2 Sm3 Mg1'
_cell_length_a 6.347
_cell_length_b 6.347
_cell_length_c 11.977
_cell_angle_alpha 95.13
_cell_angle_beta 95.13
_cell_angle_gamma 120.14
_symmetry_space_group_name_H-M 'P 1'
_symmetry_Int_Tables_number 1
_symmetry_space_group_name_Hall 'P 1'
loop_
_atom_site_label
_atom_site_type_symbol
_atom_site_fract_x
_atom_site_fract_y
_atom_site_fract_z
Sm1 Sm 0.832 0.168 0.500
Sm2 Sm 0.168 0.832 0.500
Sm3 Sm 0.500 0.500 0.500
Tb1 Tb 0.334 0.666 0.000
Tb2 Tb 0.666 0.334 0.000
La1 La 0.413 0.081 0.246
La2 La 0.249 0.249 0.752
La3 La 0.751 0.751 0.248
La4 La 0.081 0.413 0.246
La5 La 0.587 0.919 0.754
La6 La 0.919 0.587 0.754
Mg1 Mg 0.000 0.000 0.000
```

[3]
The following is a DFT calculation (PBE) of a relaxed Pm3Sm2Y6Sc crystal.

Summary:
The calculation puts the formation energy at 0.026 eV per atom. Its space-group type is No. 12.

Structure (CIF):
```
data_Pm3Sm2Y6Sc
_chemical_formula_sum 'Pm3 Sm2 Y6 Sc1'
_cell_length_a 6.194
_cell_length_b 6.194
_cell_length_c 11.829
_cell_angle_alpha 94.99
_cell_angle_beta 94.99
_cell_angle_gamma 119.99
_symmetry_space_group_name_H-M 'P 1'
_symmetry_Int_Tables_number 1
_symmetry_space_group_name_Hall 'P 1'
loop_
_atom_site_label
_atom_site_type_symbol
_atom_site_fract_x
_atom_site_fract_y
_atom_site_fract_z
Y1 Y 0.412 0.082 0.247
Y2 Y 0.082 0.412 0.247
Y3 Y 0.588 0.918 0.753
Y4 Y 0.918 0.588 0.753
Y5 Y 0.249 0.249 0.753
Y6 Y 0.751 0.751 0.247
Pm1 Pm 0.167 0.833 0.500
Pm2 Pm 0.833 0.167 0.500
Pm3 Pm 0.500 0.500 0.500
Sm1 Sm 0.334 0.666 0.000
Sm2 Sm 0.666 0.334 0.000
Sc1 Sc 0.000 0.000 0.000
```

[4]
The following is a DFT calculation (PBE) of a relaxed CaScIrO6 crystal.

Summary:
The calculation puts the uncorrected formation energy at -1906 meV per atom. Its space-group type is No. 163.

Structure (CIF):
```
data_CaScIrO6
_chemical_formula_sum 'Ca2 Sc2 Ir2 O12'
_cell_length_a 5.320
_cell_length_b 5.320
_cell_length_c 9.935
_cell_angle_alpha 90.00
_cell_angle_beta 90.00
_cell_angle_gamma 120.00
_symmetry_space_group_name_H-M 'P 1'
_symmetry_Int_Tables_number 1
_symmetry_space_group_name_Hall 'P 1'
loop_
_atom_site_label
_atom_site_type_symbol
_atom_site_fract_x
_atom_site_fract_y
_atom_site_fract_z
Sc1 Sc 0.333 0.667 0.250
Sc2 Sc 0.667 0.333 0.750
Ca1 Ca 0.000 0.000 0.000
Ca2 Ca 0.000 0.000 0.500
O1 O 0.026 0.375 0.641
O2 O 0.651 0.026 0.359
O3 O 0.349 0.375 0.859
O4 O 0.625 0.651 0.641
O5 O 0.375 0.026 0.141
O6 O 0.651 0.625 0.141
O7 O 0.026 0.651 0.859
O8 O 0.974 0.625 0.359
O9 O 0.375 0.349 0.359
O10 O 0.974 0.349 0.141
O11 O 0.349 0.974 0.641
O12 O 0.625 0.974 0.859
Ir1 Ir 0.333 0.667 0.750
Ir2 Ir 0.667 0.333 0.250
```

| no. | uncorrected energy (eV per atom) | Fermi-level density of states (states/eV/f.u.) |
| --- | --- | --- |
| 1 | -6.087 | 11.6 |
| 2 | -4.527 | 15.6 |
| 3 | -5.708 | 16.5 |
| 4 | -7.122 | 4.7 |